The following is a DFT calculation (GGA-PBE) of TbDy6Tl5 after structural relaxation.

abc: 7.6394 7.6394 6.2360
angles: 98.82 98.82 94.39
Element x y z (fractional)
Tb: 0.0000 0.0000 0.0000
Dy: 0.0946 0.4493 0.2621
Dy: 0.2746 0.2746 0.7721
Dy: 0.4493 0.0946 0.2621
Dy: 0.5507 0.9054 0.7379
Dy: 0.7254 0.7254 0.2279
Dy: 0.9054 0.5507 0.7379
Tl: 0.1410 0.8590 0.5000
Tl: 0.3026 0.6974 0.0000
Tl: 0.5000 0.5000 0.5000
Tl: 0.6974 0.3026 0.0000
Tl: 0.8590 0.1410 0.5000

Values from the calculation:
The value obtained for the volume is 29.459 Å³ per atom. As for the distance to the lowest polymorph of the same formula: 0.0884 eV per atom. The density of states at the Fermi level comes out at 12.89 states/eV/f.u. As for the total magnetic moment: 0.0 μB/f.u.